BaAlRh2 | PBE-GGA | relaxed

Lattice parameters (Å, degrees): 4.0443 3.2762 6.6475 78.75 90.00 90.00
Last column: nearest neighbours and their distance in Å.
Fractional positions:
1 Rh 0.0000 0.1586 0.0445  2 Al 2.51-2.53, 2 Rh 2.74
2 Rh 0.5000 0.0595 0.3276  4 Al 2.58-2.62, 2 Rh 2.74
3 Al 0.0000 0.5452 0.3381  6 Rh 2.51-2.62
4 Ba 0.5000 0.7368 0.7898  5 Rh 3.05-3.13, 2 Ba 3.28

Polymorph energy (0 for the lowest one)   0.2751 eV per atom
Calculated volume   21.597 Å³/atom
Uncorrected energy   -5.287 eV/atom
Space-group type   Pm (6)
Spin magnetization   0.000 μB/atom

---

BeAsRu | PBE-GGA | relaxed

Lattice parameters (Å, degrees): 6.3062 6.0372 2.8080 82.26 71.56 26.18
Last column: nearest neighbours and their distance in Å.
Fractional positions:
1 Be 0.6784 0.6784 0.3216  2 Ru 2.27
2 As 0.9987 0.9987 0.0013  2 Ru 2.55, 2 Be 2.59, 4 As 2.81
3 Ru 0.3229 0.3229 0.6771  2 Be 2.27

Polymorph energy (0 for the lowest one)   0.4965 eV per atom
Calculated volume   13.935 Å³/atom
Uncorrected energy   -5.567 eV/atom
Space-group type   Fmm2 (42)
Spin magnetization   0.000 μB/atom